Here is crystalline PdS2N2 at its relaxed geometry from Alexandria via LeMat-Bulk. Energies are from PBE.

abc: 4.063 4.063 3.712
angles: 90.00 90.00 90.00
Sites, in units of the cell vectors:
S (0.000, 0.500, 0.000)
S (0.500, 0.000, 0.000)
Pd (0.500, 0.500, 0.500)
N (0.000, 0.000, 0.000)
N (0.000, 0.000, 0.500)

Values from the calculation:
**Space-group type**: P4/mmm
**Total magnetic moment**: 0.317 μB/atom
**Polymorph energy (0 for the lowest one)**: 402.0 meV/atom
**V**: 61.3 Å³/cell
**Formation energy without anion corrections**: 8.568 eV per formula unit

=====

Here is crystalline SbPdSN2 at its relaxed geometry from Alexandria via LeMat-Bulk. Energies are from PBE.

abc: 4.036 4.036 4.920
angles: 90.00 90.00 90.00
Sites, in units of the cell vectors:
Sb (0.500, 0.500, 0.500)
S (0.000, 0.000, 0.500)
Pd (0.000, 0.000, 0.000)
N (0.000, 0.500, 0.000)
N (0.500, 0.000, 0.000)

Values from the calculation:
**Space-group type**: P4/mmm
**Total magnetic moment**: 0.455 μB/atom
**Polymorph energy (0 for the lowest one)**: 0.0 meV/atom
**V**: 80.2 Å³/cell
**Formation energy without anion corrections**: 6.480 eV per formula unit

=====

Here is crystalline SbPdSN2 at its relaxed geometry from Alexandria via LeMat-Bulk. Energies are from PBE.

abc: 3.971 3.971 5.323
angles: 90.00 90.00 90.00
Sites, in units of the cell vectors:
Sb (0.000, 0.000, 0.000)
S (0.000, 0.000, 0.500)
Pd (0.500, 0.500, 0.500)
N (0.000, 0.500, 0.000)
N (0.500, 0.000, 0.000)

Values from the calculation:
**Space-group type**: P4/mmm
**Total magnetic moment**: 0.455 μB/atom
**Polymorph energy (0 for the lowest one)**: 77.2 meV/atom
**V**: 84.0 Å³/cell
**Formation energy without anion corrections**: 6.866 eV per formula unit

=====

Here is crystalline ScPdS2N at its relaxed geometry from Alexandria via LeMat-Bulk. Energies are from PBE.

abc: 4.920 4.920 4.017
angles: 90.00 90.00 90.00
Sites, in units of the cell vectors:
Sc (0.000, 0.000, 0.000)
S (0.000, 0.500, 0.000)
S (0.500, 0.000, 0.000)
Pd (0.500, 0.500, 0.500)
N (0.000, 0.000, 0.500)

Values from the calculation:
**Space-group type**: P4/mmm
**Total magnetic moment**: 0.000 μB/atom
**Polymorph energy (0 for the lowest one)**: 300.9 meV/atom
**V**: 97.2 Å³/cell
**Formation energy without anion corrections**: 1.980 eV per formula unit